## MnHIrRu2 (PBE-GGA)

Data for a relaxed structure of MnHIrRu2.

The structure in POSCAR format:
```
MnHIrRu2
1.0
3.8234 0.0000 0.0000
0.0000 3.8234 0.0000
0.0000 0.0000 3.7964
Mn H Ir Ru
1 1 1 2
Direct
0.0000 0.0000 0.0000
0.0000 0.0000 0.5000
0.5000 0.5000 0.0000
0.0000 0.5000 0.5000
0.5000 0.0000 0.5000
```

Summary:
* electronic total energy: -7.945 eV per atom